! Tl7CdHg4, optimized geometry, DFT PBE; values from VASP
! * formation energy: 0.015 eV/atom
! * crystal system: trigonal
! * calculated density: 11.0 g/cm3
&SYSTEM
  ibrav = 0, nat = 12, ntyp = 3
/
ATOMIC_SPECIES
Tl 204.38 Tl.upf
Cd 112.41 Cd.upf
Hg 200.59 Hg.upf
CELL_PARAMETERS angstrom
-1.371 2.910 1.802
-2.148 -1.927 -2.295
-8.154 -17.845 22.616
ATOMIC_POSITIONS angstrom
Tl 0.000 0.000 0.000
Tl -6.369 -9.072 13.578
Tl -5.305 -7.790 8.544
Tl -8.447 -13.620 19.342
Tl -3.227 -3.242 2.780
Tl -2.085 -4.562 5.782
Tl -6.070 -13.283 16.835
Cd -4.077 -8.922 11.308
Hg -2.301 -0.171 2.297
Hg -9.372 -16.691 19.826
Hg -4.378 -4.714 8.056
Hg -7.296 -12.147 14.067